A geometry-optimized SrSi2Hg structure. Source: Alexandria, functional GGA-PBE.

Output
- size of the total moment (μB/cell) = 0.00
- raw total energy (eV per atom) = -2.990
- crystal system = tetragonal
- formation energy (no corrections) (kcal/mol of atoms) = 5.0

Lattice parameters (Å, degrees): 5.822 5.822 5.822 135.80 135.80 64.29
Sites, in units of the cell vectors:
Sr 0.000 0.000 0.000
Si 0.250 0.750 0.500
Si 0.750 0.250 0.500
Hg 0.500 0.500 0.000